# 1
# CrCuAg2

A geometry-optimized CrCuAg2 structure (PBE, Alexandria via LeMat-Bulk).

The structure belongs to space group F-43m (No. 216); the cell edges are 6.382, 6.382 and 6.382 Å and the angles 90.00°, 90.00° and 90.00°. The asymmetric unit holds Cr at (0.000, 0.000, 0.000), Cu at (0.250, 0.250, 0.250), Ag at (0.000, 0.000, 0.500) and Ag at (0.250, 0.250, 0.750).

The calculated volume is 259.9 Å³ per cell.

---

# 2
# CrCuAg2

A geometry-optimized CrCuAg2 structure (PBE, Alexandria via LeMat-Bulk).

The structure belongs to space group R3m (No. 160, hexagonal axes); the cell edges are 2.8835, 2.8835 and 26.9086 Å and the angles 90.00°, 90.00° and 120.00°. The asymmetric unit holds Cr at (0.0000, 0.0000, 0.0000), Cu at (0.0000, 0.0000, 0.7412), Ag at (0.0000, 0.0000, 0.2476) and Ag at (0.0000, 0.0000, 0.4895).

The calculated volume is 193.8 Å³ per cell.

---

# 3
# CrCuAg2

A geometry-optimized CrCuAg2 structure (PBE, Alexandria via LeMat-Bulk).

The structure belongs to space group C2/m (No. 12); the cell edges are 9.416, 2.938 and 4.822 Å and the angles 90.00°, 103.02° and 90.00°. The asymmetric unit holds Cr at (0.000, 0.000, 0.000), Cu at (0.000, 0.500, 0.500) and Ag at (0.243, 0.000, 0.744).

The calculated volume is 130.0 Å³ per cell.

---

Record order is preserved below.
E_tot: -4.515, -4.479, -4.509 eV/atom
Record order is preserved below.
Formation enthalpy at 0 K: 1.4, 1.5, 1.4 eV/f.u.
Record order is preserved below.
Polymorph energy (0 for the lowest one): 0.64, 1.48, 0.78 kcal/mol of atoms